[1]
Compound: TbPr3Sb4
Source: Alexandria
Functional: PBE
Structure: optimized geometry

Geometry as POSCAR:
```
TbPr3Sb4
1.0
-1.5523 4.7234 4.0144
-4.8899 1.6104 -3.7857
-3.8099 -3.9914 3.2232
Pr Sb Tb
3 4 1
direct
0.0000 0.5000 0.5000 Pr
0.5000 0.0000 0.5000 Pr
0.5000 0.5000 0.0000 Pr
0.5000 0.0000 0.0000 Sb
0.0000 0.5000 0.0000 Sb
0.0000 0.0000 0.5000 Sb
0.5000 0.5000 0.5000 Sb
0.0000 0.0000 0.0000 Tb
```

Computed properties:
formation energy from raw total energies = -1.1757 eV per atom
calculated volume = 261.0 Å³ per cell


[2]
Compound: CaCdBiPd
Source: Alexandria
Functional: PBE
Structure: optimized geometry

Geometry as POSCAR:
```
CaCdBiPd
1.0
5.1307 0.0000 0.0000
2.5653 4.4433 0.0000
2.5653 1.4811 4.1892
Ca Bi Pd Cd
1 1 1 1
direct
0.0000 0.0000 0.0000 Ca
0.5000 0.5000 0.5000 Bi
0.2500 0.2500 0.2500 Pd
0.7500 0.7500 0.7500 Cd
```

Computed properties:
calculated volume = 95.5 Å³ per cell
energy of formation = -0.38 eV/atom


[3]
Compound: In2Ru2Br
Source: Alexandria
Functional: PBE
Structure: optimized geometry

Geometry as POSCAR:
```
In2Ru2Br
1.0
3.5943 0.0000 0.0000
0.0000 3.5943 0.0000
1.7972 1.7972 8.7331
Ru Br In
2 1 2
direct
0.7500 0.2500 0.5000 Ru
0.2500 0.7500 0.5000 Ru
0.0000 0.0000 0.0000 Br
0.3780 0.3780 0.2440 In
0.6220 0.6220 0.7560 In
```

Computed properties:
formation energy from raw total energies = 0.3065 eV per atom
calculated volume = 112.8 Å³ per cell